UMoRh2 | GGA-PBE | relaxed

Unit cell a=4.0792 b=4.0339 c=4.0339 alpha=90.00 beta=90.00 gamma=90.00
Closest atoms and distances in Å follow each position.
Atoms (fractional coordinates):
U (0.5000, 0.0000, 0.0000)  4 Mo 2.85, 8 Rh 2.87
Rh (0.0000, 0.0000, 0.5000)  4 Rh 2.85, 4 Mo 2.87, 4 U 2.87
Rh (0.0000, 0.5000, 0.0000)  4 Rh 2.85, 4 Mo 2.87, 4 U 2.87
Mo (0.5000, 0.5000, 0.5000)  4 U 2.85, 8 Rh 2.87

Energy, eV/atom: -9.563
Magnetization, μB/cell: 0.0
Energy of formation, meV/atom: -357
Space-group type: P4/mmm
V, Å³/atom: 16.595